(1)
Density functional theory data (PBE-GGA) for an optimized crystal structure of TiNb2Al.

a = 3.5621 Å, b = 4.3558 Å, c = 8.9804 Å
α = 90.00°, β = 90.00°, γ = 90.00°
With the nearest neighbours (Å) after each atom.
Space group Cmmm (No. 65)
Symmetry-distinct sites (fractional):
Ti 0.0000 0.0000 0.0000 x2  4 Ti 2.81, 4 Nb 2.91
Nb 0.0000 0.5000 0.2566 x4  4 Nb 2.81, 4 Al 2.82-3.09, 2 Ti 2.91
Al 0.0000 0.0000 0.5000 x2  4 Al 2.81, 8 Nb 2.82-3.09

ρ, kg/m³: 6213
N(E_F), states/eV/atom: 1.207
Formation energy from the elements, eV/atom: -0.125
Total magnetization, μB/cell: 1.4



(2)
Density functional theory data (PBE-GGA) for an optimized crystal structure of TiNb2Al.

a = 7.3116 Å, b = 7.3116 Å, c = 5.4794 Å
α = 90.00°, β = 90.00°, γ = 90.00°
With the nearest neighbours (Å) after each atom.
Space group I-42d (No. 122)
Symmetry-distinct sites (fractional):
Ti 0.0000 0.0000 0.0000 x4  4 Nb 2.71, 2 Al 2.74
Nb 0.2437 0.2500 0.6250 x8  2 Al 2.64, 2 Ti 2.71, 2 Nb 2.74
Al 0.0000 0.0000 0.5000 x4  4 Nb 2.64, 2 Ti 2.74

ρ, kg/m³: 5911
N(E_F), states/eV/atom: 1.105
Formation energy from the elements, eV/atom: 0.362
Total magnetization, μB/cell: 0.0



(3)
Density functional theory data (PBE-GGA) for an optimized crystal structure of UTiNbAl.

a = 6.5974 Å, b = 6.5974 Å, c = 6.5974 Å
α = 90.00°, β = 90.00°, γ = 90.00°
With the nearest neighbours (Å) after each atom.
Space group F-43m (No. 216)
Symmetry-distinct sites (fractional):
U 0.0000 0.0000 0.0000 x4  4 Nb 2.86, 4 Ti 2.86
Ti 0.2500 0.2500 0.7500 x4  4 U 2.86, 4 Al 2.86
Nb 0.2500 0.2500 0.2500 x4  4 U 2.86, 4 Al 2.86
Al 0.0000 0.0000 0.5000 x4  4 Nb 2.86, 4 Ti 2.86

ρ, kg/m³: 9386
N(E_F), states/eV/atom: 1.382
Formation energy from the elements, eV/atom: 0.022
Total magnetization, μB/cell: 2.2



(4)
Density functional theory data (PBE-GGA) for an optimized crystal structure of Y2TiNbAl.

a = 5.0745 Å, b = 5.0745 Å, c = 4.9406 Å
α = 90.00°, β = 90.00°, γ = 90.00°
With the nearest neighbours (Å) after each atom.
Space group P4/mmm (No. 123)
Symmetry-distinct sites (fractional):
Y 0.0000 0.5000 0.0000 x2  2 Ti 2.54
Ti 0.0000 0.0000 0.0000 x1  2 Al 2.47, 4 Y 2.54
Nb 0.5000 0.5000 0.5000 x1  8 Y 3.54, 4 Al 3.59
Al 0.0000 0.0000 0.5000 x1  2 Ti 2.47

ρ, kg/m³: 4510
N(E_F), states/eV/atom: 1.731
Formation energy from the elements, eV/atom: 1.034
Total magnetization, μB/cell: 0.0



(5)
Density functional theory data (PBE-GGA) for an optimized crystal structure of TiNbAlZn.

a = 6.3846 Å, b = 6.3846 Å, c = 6.3846 Å
α = 90.00°, β = 90.00°, γ = 90.00°
With the nearest neighbours (Å) after each atom.
Space group F-43m (No. 216)
Symmetry-distinct sites (fractional):
Ti 0.0000 0.0000 0.0000 x4  4 Al 2.76, 4 Zn 2.76
Nb 0.0000 0.0000 0.5000 x4  4 Al 2.76, 4 Zn 2.76
Al 0.2500 0.2500 0.7500 x4  4 Nb 2.76, 4 Ti 2.76
Zn 0.2500 0.2500 0.2500 x4  4 Nb 2.76, 4 Ti 2.76

ρ, kg/m³: 5951
N(E_F), states/eV/atom: 1.234
Formation energy from the elements, eV/atom: -0.106
Total magnetization, μB/cell: 0.0



(6)
Density functional theory data (PBE-GGA) for an optimized crystal structure of TiNbAlZn2.

a = 5.0369 Å, b = 5.0369 Å, c = 4.6497 Å
α = 90.00°, β = 90.00°, γ = 90.00°
With the nearest neighbours (Å) after each atom.
Space group P4/mmm (No. 123)
Symmetry-distinct sites (fractional):
Ti 0.0000 0.0000 0.0000 x1  2 Nb 2.32
Nb 0.0000 0.0000 0.5000 x1  2 Ti 2.32, 4 Zn 2.52
Al 0.5000 0.5000 0.0000 x1  8 Zn 3.43, 4 Ti 3.56
Zn 0.0000 0.5000 0.5000 x2  2 Nb 2.52

ρ, kg/m³: 4203
N(E_F), states/eV/atom: 0.698
Formation energy from the elements, eV/atom: 1.004
Total magnetization, μB/cell: 0.0



(7)
Density functional theory data (PBE-GGA) for an optimized crystal structure of NbAl2Tl2.

a = 7.2305 Å, b = 7.2305 Å, c = 3.9989 Å
α = 90.00°, β = 90.00°, γ = 90.00°
With the nearest neighbours (Å) after each atom.
Space group P4/mbm (No. 127)
Symmetry-distinct sites (fractional):
Nb 0.0000 0.0000 0.0000 x2  4 Al 2.81
Al 0.1366 0.3634 0.0000 x4  1 Al 2.79, 2 Nb 2.81, 6 Tl 2.82-2.99
Tl 0.1695 0.6695 0.5000 x4  6 Al 2.82-2.99

Energy relative to the lowest polymorph listed for this composition, meV per atom: 0
ρ, kg/m³: 8827
N(E_F), states/eV/atom: 0.700
Formation energy from the elements, eV/atom: 0.415
Total magnetization, μB/cell: 0.0



(8)
Density functional theory data (PBE-GGA) for an optimized crystal structure of Nb3AlTl.

a = 5.0775 Å, b = 5.0775 Å, c = 5.0775 Å
α = 90.00°, β = 90.00°, γ = 90.00°
With the nearest neighbours (Å) after each atom.
Space group Pm-3m (No. 221)
Symmetry-distinct sites (fractional):
Nb 0.0000 0.0000 0.5000 x3  2 Tl 2.54
Al 0.5000 0.5000 0.5000 x1  12 Nb 3.59
Tl 0.0000 0.0000 0.0000 x1  6 Nb 2.54

Energy relative to the lowest polymorph listed for this composition, meV per atom: 957
ρ, kg/m³: 6471
N(E_F), states/eV/atom: 1.956
Formation energy from the elements, eV/atom: 1.952
Total magnetization, μB/cell: 0.0